Here is a relaxed structure of Rb2TePF6 from the Alexandria database. Energies are from PBE.

The space-group type is Fm-3m. The value obtained for the final energy is -4.37 eV/atom.

abc: 6.996 6.996 6.996
angles: 60.00 60.00 60.00
Atoms (fractional coordinates):
Rb1 0.250 0.250 0.250
Rb2 0.750 0.750 0.750
Te1 0.000 0.000 0.000
P1 0.500 0.500 0.500
F1 0.334 0.334 0.666
F2 0.334 0.666 0.334
F3 0.334 0.666 0.666
F4 0.666 0.334 0.334
F5 0.666 0.334 0.666
F6 0.666 0.666 0.334

***

Here is a relaxed structure of ScMo2Ir from the Alexandria database. Energies are from PBE.

The calculation puts the energy of formation at -221 meV per atom. The space-group type is P4mm. Its offset from the most stable computed form is 3.9 kJ per mole of atoms.

abc: 3.186 3.186 6.488
angles: 90.00 90.00 90.00
Atoms (fractional coordinates):
Sc1 0.000 0.000 0.000
Mo1 0.000 0.000 0.510
Mo2 0.500 0.500 0.726
Ir1 0.500 0.500 0.250

***

Here is a relaxed structure of Pu3BSe6 from the Alexandria database. Energies are from PBE.

The space-group type is Cmc2_1. The value obtained for the final energy is -8.14 eV/atom.

abc: 8.857 8.857 6.642
angles: 90.00 90.00 102.03
Atoms (fractional coordinates):
Pu1 0.109 0.891 0.500
Pu2 0.219 0.420 0.424
Pu3 0.420 0.219 0.924
Pu4 0.580 0.781 0.424
Pu5 0.781 0.580 0.924
Pu6 0.891 0.109 0.000
B1 0.305 0.695 0.873
B2 0.695 0.305 0.373
Se1 0.092 0.604 0.738
Se2 0.134 0.185 0.709
Se3 0.185 0.134 0.209
Se4 0.290 0.710 0.188
Se5 0.396 0.908 0.738
Se6 0.448 0.552 0.759
Se7 0.552 0.448 0.259
Se8 0.604 0.092 0.238
Se9 0.710 0.290 0.688
Se10 0.815 0.866 0.709
Se11 0.866 0.815 0.209
Se12 0.908 0.396 0.238

***

Here is a relaxed structure of Mg2FeRh from the Alexandria database. Energies are from PBE.

The calculation puts the energy of formation at -74 meV per atom. The space-group type is P4/mmm.

abc: 3.996 3.996 3.855
angles: 90.00 90.00 90.00
Atoms (fractional coordinates):
Mg1 0.000 0.500 0.000
Mg2 0.500 0.000 0.000
Fe1 0.000 0.000 0.500
Rh1 0.500 0.500 0.500

***

Here is a relaxed structure of Li2Au3 from the Alexandria database. Energies are from PBE.

The calculation puts the energy of formation at -451 meV per atom. The space-group type is Fdd2. Its offset from the most stable computed form is 1.0 kJ per mole of atoms.

abc: 7.245 5.415 8.314
angles: 59.32 40.00 80.68
Atoms (fractional coordinates):
Li1 0.026 0.474 0.077
Li2 0.173 0.827 0.224
Li3 0.474 0.026 0.423
Li4 0.827 0.173 0.776
Au1 0.037 0.037 0.963
Au2 0.287 0.287 0.213
Au3 0.465 0.594 0.327
Au4 0.594 0.465 0.614
Au5 0.636 0.923 0.656
Au6 0.923 0.636 0.785

***

Here is a relaxed structure of Sc2Cu2Bi from the Alexandria database. Energies are from PBE.

The calculation puts the energy of formation at -97 meV per atom. The space-group type is P4/mbm. Its offset from the most stable computed form is 24.1 kJ per mole of atoms.

abc: 7.794 7.794 3.387
angles: 90.00 90.00 90.00
Atoms (fractional coordinates):
Sc1 0.157 0.343 0.000
Sc2 0.343 0.843 0.000
Sc3 0.657 0.157 0.000
Sc4 0.843 0.657 0.000
Cu1 0.125 0.625 0.500
Cu2 0.375 0.125 0.500
Cu3 0.625 0.875 0.500
Cu4 0.875 0.375 0.500
Bi1 0.000 0.000 0.000
Bi2 0.500 0.500 0.000

***

Number 1: spin magnetization 1.0 μB per cell. Number 2: spin magnetization 0.0 μB per cell. Number 3: spin magnetization 30.0 μB per cell. Number 4: spin magnetization 2.8 μB per cell. Number 5: spin magnetization 0.0 μB per cell. Number 6: spin magnetization 0.0 μB per cell.